Tl3FeP2O8 after structural relaxation, computed with PBE+U.

It has space group P-3m1 (No. 164), with a = 5.4197 Å, b = 5.4197 Å, c = 8.4247 Å, α = 90.00°, β = 90.00° and γ = 120.00°. The inequivalent atoms are Tl at (0.0000, 0.0000, 0.0000), Tl at (0.3333, 0.6667, 0.7833), Fe at (0.0000, 0.0000, 0.5000), P at (0.3333, 0.6667, 0.3006), O at (0.1758, 0.3517, 0.3590) and O at (0.3333, 0.6667, 0.1170).

For the total energy, the calculation gives -86.80 eV for the cell shown. Its mass density is 6.655 g cm⁻³. The crystal system is trigonal.